{
  "formula": "Y2Sc2Zn",
  "functional": "GGA-PBE",
  "state": "optimized geometry",
  "lattice_angstrom": [[7.249, 0.000, 0.000], [0.000, 7.249, 0.000], [0.000, 0.000, 5.063]],
  "species": ["Y", "Y", "Y", "Y", "Sc", "Sc", "Sc", "Sc", "Zn", "Zn"],
  "fractional_positions": [[0.161, 0.339, 0.000], [0.339, 0.839, 0.000], [0.661, 0.161, 0.000], [0.839, 0.661, 0.000], [0.146, 0.646, 0.500], [0.354, 0.146, 0.500], [0.646, 0.854, 0.500], [0.854, 0.354, 0.500], [0.000, 0.000, 0.500], [0.500, 0.500, 0.500]],
  "space_group": "No. 127",
  "e_tot_ev_per_atom": -5.3310,
  "mass_density_g_cm3": 4.16
}